A geometry-optimized Bi2IBr2 structure. Source: Alexandria via LeMat-Bulk, functional PBE.

```
data_Bi2IBr2
_symmetry_space_group_name_H-M 'P 1'
_symmetry_Int_Tables_number 1
_cell_length_a 8.305
_cell_length_b 8.305
_cell_length_c 4.737
_cell_angle_alpha 90.00
_cell_angle_beta 90.00
_cell_angle_gamma 90.00
loop_
_symmetry_equiv_pos_as_xyz
'x,y,z'
loop_
_atom_site_label
_atom_site_type_symbol
_atom_site_fract_x
_atom_site_fract_y
_atom_site_fract_z
_atom_site_occupancy
Br1 Br 0.830 0.330 0.500 1
Br2 Br 0.330 0.170 0.500 1
Br3 Br 0.170 0.670 0.500 1
Br4 Br 0.670 0.830 0.500 1
Bi1 Bi 0.368 0.868 0.000 1
Bi2 Bi 0.868 0.632 0.000 1
Bi3 Bi 0.132 0.368 0.000 1
Bi4 Bi 0.632 0.132 0.000 1
I1 I 0.000 0.000 0.000 1
I2 I 0.500 0.500 0.000 1
```

Calculated values
Density of states at the Fermi level   0.6499 states/eV/atom
Formation energy without anion corrections   -0.162 eV/atom
E_tot   -2.694 eV per atom